The following is a PBEsol calculation of BeReRh2 after structural relaxation, from the Alexandria database.

Cell: 3.7260 3.7260 7.3197 Å, 90.00 90.00 90.00°
Space group I4/mmm (No. 139)
Asymmetric unit:
Be 0.0000 0.0000 0.0000 x2
Re 0.0000 0.0000 0.5000 x2
Rh 0.0000 0.5000 0.2500 x4

## Properties
raw total energy	-8.48	eV per atom
theoretical density	13.107	Mg/m³
volume	101.62	Å³ per cell
magnetic moment	0.0	μB/f.u.

---

The following is a PBEsol calculation of BeRe2Rh after structural relaxation, from the Alexandria database.

Cell: 2.8846 4.4675 8.1340 Å, 90.00 90.00 90.00°
Space group Cmm2 (No. 35)
Asymmetric unit:
Be 0.0000 0.0000 0.0000 x2
Re 0.0000 0.0000 0.4928 x2
Re 0.0000 0.5000 0.7619 x2
Rh 0.0000 0.5000 0.2117 x2

## Properties
raw total energy	-9.57	eV per atom
theoretical density	15.345	Mg/m³
volume	104.82	Å³ per cell
magnetic moment	0.0	μB/f.u.

---

Question: Number 2 is which compound?
Answer: BeRe2Rh